{
  "formula": "Y2MgTe",
  "functional": "PBE",
  "state": "relaxed",
  "lattice_angstrom": [[3.866, 0.000, 0.000], [0.000, 5.285, 0.000], [0.000, 0.000, 5.304]],
  "species": ["Y", "Y", "Mg", "Te"],
  "fractional_positions": [[0.000, 0.000, 0.000], [0.000, 0.500, 0.500], [0.500, 0.000, 0.500], [0.500, 0.500, 0.000]],
  "m_tot_mub_per_cell": 0.0,
  "formation_energy_uncorrected_ev_per_atom": -0.51,
  "polymorph_energy_kcal_per_mol_atoms": 2.52
}